## LiZrB4 (PBE)

Data for crystalline LiZrB4 at its relaxed geometry.

Cell: 5.7954 5.7954 3.3681 Å, 90.00 90.00 103.99°
With the nearest neighbours (Å) after each atom.
Positions (direct):
Li 0.1695 0.1695 0.0000  10 B 2.24-2.26, 1 Li 2.42
Li 0.8305 0.8305 0.0000  10 B 2.24-2.26, 1 Li 2.42
Zr 0.3025 0.6975 0.0000  14 B 2.55-2.66
Zr 0.6975 0.3025 0.0000  14 B 2.55-2.66
B 0.0638 0.3825 0.5000  3 B 1.70-1.83
B 0.0931 0.9069 0.5000  3 B 1.70
B 0.3787 0.3787 0.5000  3 B 1.73-1.83
B 0.3825 0.0638 0.5000  3 B 1.70-1.83
B 0.6175 0.9362 0.5000  3 B 1.70-1.83
B 0.6213 0.6213 0.5000  3 B 1.73-1.83
B 0.9069 0.0931 0.5000  3 B 1.70
B 0.9362 0.6175 0.5000  3 B 1.70-1.83

The calculation puts the calculated total energy at -6.688 eV/atom. As for the space group: Cmmm (65). The value obtained for the formation energy is -2.96 eV per formula unit. The calculation puts the total magnetization at 0.00 μB per cell.

## NaSb2TeAs (PBE)

Data for crystalline NaSb2TeAs at its relaxed geometry.

Cell: 5.3347 5.3347 5.4168 Å, 90.00 90.00 90.00°
With the nearest neighbours (Å) after each atom.
Positions (direct):
Na 0.0000 0.0000 0.0000  4 Sb 2.67, 2 Te 2.71
Sb 0.0000 0.5000 0.0000  2 Na 2.67
Sb 0.5000 0.0000 0.0000  2 Na 2.67
Te 0.0000 0.0000 0.5000  2 Na 2.71
As 0.5000 0.5000 0.5000  4 Te 3.77, 8 Sb 3.80

The calculation puts the calculated total energy at -2.496 eV/atom. As for the space group: P4/mmm (123). The calculation puts the distance to the lowest polymorph of the same formula at 685 meV/atom. The calculation puts the formation energy from raw total energies at 0.975 eV/atom. The calculation puts the total magnetization at 0.00 μB per cell.

## Al2RhAu (PBE)

Data for crystalline Al2RhAu at its relaxed geometry.

Cell: 2.9923 4.4253 5.0505 Å, 100.68 90.00 109.56°
With the nearest neighbours (Å) after each atom.
Positions (direct):
Al 0.2425 0.4867 0.2299  3 Rh 2.60-2.63, 3 Au 2.66-2.75, 2 Al 2.78-2.79
Al 0.7575 0.5133 0.7701  3 Rh 2.60-2.63, 3 Au 2.66-2.75, 2 Al 2.78-2.79
Rh 0.5000 0.0000 0.0000  6 Al 2.60-2.63
Au 0.0000 0.0000 0.5000  6 Al 2.66-2.75, 4 Rh 2.94

The calculation puts the calculated total energy at -5.051 eV/atom. As for the space group: P-1 (2). The calculation puts the distance to the lowest polymorph of the same formula at 157 meV/atom. The value obtained for the formation energy is -2.09 eV per formula unit. The calculation puts the total magnetization at 0.00 μB per cell.